MgAl3Cu2: relaxed, PBE.

Results
**Electronic total energy**: -3.613 eV/atom
**SG**: C2/m, No. 12
**DFT formation energy**: -110 meV per atom

```
data_MgAl3Cu2
_chemical_formula_sum 'Mg3 Al9 Cu6'
_symmetry_space_group_name_H-M 'P 1'
_symmetry_Int_Tables_number 1
_symmetry_space_group_name_Hall 'P 1'
_cell_length_a 8.7938
_cell_length_b 8.7938
_cell_length_c 9.6926
_cell_angle_alpha 121.20
_cell_angle_beta 121.20
_cell_angle_gamma 27.23
loop_
_atom_site_label
_atom_site_type_symbol
_atom_site_fract_x
_atom_site_fract_y
_atom_site_fract_z
Mg1 Mg 0.0000 0.0000 0.0000
Mg2 Mg 0.1623 0.1623 0.6697
Mg3 Mg 0.8377 0.8377 0.3303
Al1 Al 0.0063 0.0063 0.3117
Al2 Al 0.2020 0.2020 0.3946
Al3 Al 0.3117 0.3117 0.0445
Al4 Al 0.3679 0.3679 0.8271
Al5 Al 0.5000 0.5000 0.5000
Al6 Al 0.6321 0.6321 0.1729
Al7 Al 0.6883 0.6883 0.9555
Al8 Al 0.7980 0.7980 0.6054
Al9 Al 0.9937 0.9937 0.6883
Cu1 Cu 0.2037 0.2037 0.1383
Cu2 Cu 0.3787 0.3787 0.5707
Cu3 Cu 0.4747 0.4747 0.1419
Cu4 Cu 0.5253 0.5253 0.8581
Cu5 Cu 0.6213 0.6213 0.4293
Cu6 Cu 0.7963 0.7963 0.8617
```

Be2AsPt: relaxed, PBE.

Results
**Electronic total energy**: -4.613 eV/atom
**SG**: P2/m, No. 10
**DFT formation energy**: -77 meV per atom

```
data_Be2AsPt
_chemical_formula_sum 'Be2 As1 Pt1'
_symmetry_space_group_name_H-M 'P 1'
_symmetry_Int_Tables_number 1
_symmetry_space_group_name_Hall 'P 1'
_cell_length_a 3.5763
_cell_length_b 3.4640
_cell_length_c 4.3319
_cell_angle_alpha 90.00
_cell_angle_beta 105.76
_cell_angle_gamma 90.00
loop_
_atom_site_label
_atom_site_type_symbol
_atom_site_fract_x
_atom_site_fract_y
_atom_site_fract_z
Be1 Be 0.0000 0.0000 0.0000
Be2 Be 0.0000 0.5000 0.5000
As1 As 0.5000 0.0000 0.5000
Pt1 Pt 0.5000 0.5000 0.0000
```

Pm5CdSi2: relaxed, PBE.

Results
**Electronic total energy**: -4.917 eV/atom
**SG**: I4/mcm, No. 140
**Relative energy among the computed polymorphs**: 0.0000 eV per atom
**Raw formation energy**: -3.82 eV/f.u.

```
data_Pm5CdSi2
_chemical_formula_sum 'Pm10 Cd2 Si4'
_symmetry_space_group_name_H-M 'P 1'
_symmetry_Int_Tables_number 1
_symmetry_space_group_name_Hall 'P 1'
_cell_length_a 9.2596
_cell_length_b 9.2596
_cell_length_c 9.2596
_cell_angle_alpha 130.56
_cell_angle_beta 130.56
_cell_angle_gamma 72.51
loop_
_atom_site_label
_atom_site_type_symbol
_atom_site_fract_x
_atom_site_fract_y
_atom_site_fract_z
Pm1 Pm 0.0000 0.0000 0.0000
Pm2 Pm 0.0372 0.5372 0.8502
Pm3 Pm 0.1869 0.0372 0.5000
Pm4 Pm 0.3131 0.8131 0.8502
Pm5 Pm 0.4628 0.3131 0.5000
Pm6 Pm 0.5000 0.5000 0.0000
Pm7 Pm 0.5372 0.6869 0.5000
Pm8 Pm 0.6869 0.1869 0.1498
Pm9 Pm 0.8131 0.9628 0.5000
Pm10 Pm 0.9628 0.4628 0.1498
Cd1 Cd 0.2500 0.2500 0.0000
Cd2 Cd 0.7500 0.7500 0.0000
Si1 Si 0.1170 0.3830 0.5000
Si2 Si 0.3830 0.8830 0.2659
Si3 Si 0.6170 0.1170 0.7341
Si4 Si 0.8830 0.6170 0.5000
```

Ir2PdI: relaxed, PBE.

Results
**Electronic total energy**: -5.317 eV/atom
**SG**: I-42d, No. 122
**Relative energy among the computed polymorphs**: 0.0000 eV per atom
**Raw formation energy**: 3.20 eV/f.u.

```
data_Ir2PdI
_chemical_formula_sum 'Ir4 Pd2 I2'
_symmetry_space_group_name_H-M 'P 1'
_symmetry_Int_Tables_number 1
_symmetry_space_group_name_Hall 'P 1'
_cell_length_a 9.9645
_cell_length_b 9.9645
_cell_length_c 9.9645
_cell_angle_alpha 157.31
_cell_angle_beta 157.31
_cell_angle_gamma 32.31
loop_
_atom_site_label
_atom_site_type_symbol
_atom_site_fract_x
_atom_site_fract_y
_atom_site_fract_z
Ir1 Ir 0.0923 0.6250 0.9673
Ir2 Ir 0.3750 0.3423 0.4673
Ir3 Ir 0.6577 0.1250 0.0327
Ir4 Ir 0.8750 0.9077 0.5327
Pd1 Pd 0.0000 0.0000 0.0000
Pd2 Pd 0.7500 0.2500 0.5000
I1 I 0.2500 0.7500 0.5000
I2 I 0.5000 0.5000 0.0000
```

Nd2TmInN: relaxed, PBE.

Results
**Electronic total energy**: -5.916 eV/atom
**SG**: P4/mmm, No. 123
**Raw formation energy**: -4.51 eV/f.u.

```
data_Nd2TmInN
_chemical_formula_sum 'Nd2 Tm1 In1 N1'
_symmetry_space_group_name_H-M 'P 1'
_symmetry_Int_Tables_number 1
_symmetry_space_group_name_Hall 'P 1'
_cell_length_a 5.0568
_cell_length_b 5.0568
_cell_length_c 4.7277
_cell_angle_alpha 90.00
_cell_angle_beta 90.00
_cell_angle_gamma 90.00
loop_
_atom_site_label
_atom_site_type_symbol
_atom_site_fract_x
_atom_site_fract_y
_atom_site_fract_z
Nd1 Nd 0.0000 0.5000 0.0000
Nd2 Nd 0.5000 0.0000 0.0000
Tm1 Tm 0.0000 0.0000 0.5000
In1 In 0.5000 0.5000 0.5000
N1 N 0.0000 0.0000 0.0000
```

TmTh2Ga6: relaxed, PBE.

Results
**Electronic total energy**: -4.780 eV/atom
**SG**: P6/mmm, No. 191
**DFT formation energy**: -616 meV per atom

```
data_TmTh2Ga6
_chemical_formula_sum 'Tm1 Th2 Ga6'
_symmetry_space_group_name_H-M 'P 1'
_symmetry_Int_Tables_number 1
_symmetry_space_group_name_Hall 'P 1'
_cell_length_a 7.3647
_cell_length_b 7.3647
_cell_length_c 4.1831
_cell_angle_alpha 90.00
_cell_angle_beta 90.00
_cell_angle_gamma 120.00
loop_
_atom_site_label
_atom_site_type_symbol
_atom_site_fract_x
_atom_site_fract_y
_atom_site_fract_z
Tm1 Tm 0.0000 0.0000 0.0000
Th1 Th 0.3333 0.6667 0.0000
Th2 Th 0.6667 0.3333 0.0000
Ga1 Ga 0.0000 0.3312 0.5000
Ga2 Ga 0.0000 0.6688 0.5000
Ga3 Ga 0.3312 0.0000 0.5000
Ga4 Ga 0.3312 0.3312 0.5000
Ga5 Ga 0.6688 0.0000 0.5000
Ga6 Ga 0.6688 0.6688 0.5000
```

NbSiS2: relaxed, PBE.

Results
**Electronic total energy**: -6.038 eV/atom
**SG**: R-3m, No. 166
**Raw formation energy**: -0.40 eV/f.u.

```
data_NbSiS2
_chemical_formula_sum 'Nb1 Si1 S2'
_symmetry_space_group_name_H-M 'P 1'
_symmetry_Int_Tables_number 1
_symmetry_space_group_name_Hall 'P 1'
_cell_length_a 7.8795
_cell_length_b 7.8795
_cell_length_c 7.8795
_cell_angle_alpha 23.70
_cell_angle_beta 23.70
_cell_angle_gamma 23.70
loop_
_atom_site_label
_atom_site_type_symbol
_atom_site_fract_x
_atom_site_fract_y
_atom_site_fract_z
Nb1 Nb 0.0000 0.0000 0.0000
Si1 Si 0.5000 0.5000 0.5000
S1 S 0.1068 0.1068 0.1068
S2 S 0.8932 0.8932 0.8932
```

SnW2Cl2: relaxed, PBE.

Results
**Electronic total energy**: -5.734 eV/atom
**SG**: P4/mbm, No. 127
**Relative energy among the computed polymorphs**: 0.2848 eV per atom
**Raw formation energy**: 4.93 eV/f.u.

```
data_SnW2Cl2
_chemical_formula_sum 'Sn2 W4 Cl4'
_symmetry_space_group_name_H-M 'P 1'
_symmetry_Int_Tables_number 1
_symmetry_space_group_name_Hall 'P 1'
_cell_length_a 8.5295
_cell_length_b 8.5295
_cell_length_c 2.9315
_cell_angle_alpha 90.00
_cell_angle_beta 90.00
_cell_angle_gamma 90.00
loop_
_atom_site_label
_atom_site_type_symbol
_atom_site_fract_x
_atom_site_fract_y
_atom_site_fract_z
Sn1 Sn 0.0000 0.0000 0.0000
Sn2 Sn 0.5000 0.5000 0.0000
W1 W 0.1026 0.3974 0.0000
W2 W 0.3974 0.8974 0.0000
W3 W 0.6026 0.1026 0.0000
W4 W 0.8974 0.6026 0.0000
Cl1 Cl 0.2356 0.7356 0.5000
Cl2 Cl 0.2644 0.2356 0.5000
Cl3 Cl 0.7356 0.7644 0.5000
Cl4 Cl 0.7644 0.2644 0.5000
```

Zr2ZnCu: relaxed, PBE.

Results
**Electronic total energy**: -5.752 eV/atom
**SG**: Cm, No. 8
**DFT formation energy**: -136 meV per atom

```
data_Zr2ZnCu
_chemical_formula_sum 'Zr2 Zn1 Cu1'
_symmetry_space_group_name_H-M 'P 1'
_symmetry_Int_Tables_number 1
_symmetry_space_group_name_Hall 'P 1'
_cell_length_a 5.6292
_cell_length_b 5.6292
_cell_length_c 4.6299
_cell_angle_alpha 114.26
_cell_angle_beta 114.26
_cell_angle_gamma 33.43
loop_
_atom_site_label
_atom_site_type_symbol
_atom_site_fract_x
_atom_site_fract_y
_atom_site_fract_z
Zr1 Zr 0.0000 0.0000 0.0000
Zr2 Zr 0.2323 0.2323 0.7312
Zn1 Zn 0.4536 0.4536 0.4539
Cu1 Cu 0.7543 0.7543 0.2526
```

ZnGePd: relaxed, PBE.

Results
**Electronic total energy**: -3.857 eV/atom
**SG**: P-6m2, No. 187
**DFT formation energy**: -162 meV per atom

```
data_ZnGePd
_chemical_formula_sum 'Zn1 Ge1 Pd1'
_symmetry_space_group_name_H-M 'P 1'
_symmetry_Int_Tables_number 1
_symmetry_space_group_name_Hall 'P 1'
_cell_length_a 4.4086
_cell_length_b 4.4086
_cell_length_c 2.8539
_cell_angle_alpha 90.00
_cell_angle_beta 90.00
_cell_angle_gamma 120.00
loop_
_atom_site_label
_atom_site_type_symbol
_atom_site_fract_x
_atom_site_fract_y
_atom_site_fract_z
Zn1 Zn 0.0000 0.0000 0.0000
Ge1 Ge 0.3333 0.6667 0.5000
Pd1 Pd 0.6667 0.3333 0.5000
```

Co3Te: relaxed, PBE.

Results
**Electronic total energy**: -5.908 eV/atom
**SG**: Pm-3m, No. 221
**Raw formation energy**: 0.83 eV/f.u.

```
data_Co3Te
_chemical_formula_sum 'Co3 Te1'
_symmetry_space_group_name_H-M 'P 1'
_symmetry_Int_Tables_number 1
_symmetry_space_group_name_Hall 'P 1'
_cell_length_a 3.6942
_cell_length_b 3.6942
_cell_length_c 3.6942
_cell_angle_alpha 90.00
_cell_angle_beta 90.00
_cell_angle_gamma 90.00
loop_
_atom_site_label
_atom_site_type_symbol
_atom_site_fract_x
_atom_site_fract_y
_atom_site_fract_z
Co1 Co 0.0000 0.0000 0.5000
Co2 Co 0.0000 0.5000 0.0000
Co3 Co 0.5000 0.0000 0.0000
Te1 Te 0.5000 0.5000 0.5000
```

Ba2SrAg: relaxed, PBE.

Results
**Electronic total energy**: -2.151 eV/atom
**SG**: R3m, No. 160
**DFT formation energy**: -57 meV per atom
**Relative energy among the computed polymorphs**: 0.0898 eV per atom

```
data_Ba2SrAg
_chemical_formula_sum 'Ba2 Sr1 Ag1'
_symmetry_space_group_name_H-M 'P 1'
_symmetry_Int_Tables_number 1
_symmetry_space_group_name_Hall 'P 1'
_cell_length_a 11.6681
_cell_length_b 11.6681
_cell_length_c 11.6681
_cell_angle_alpha 23.07
_cell_angle_beta 23.07
_cell_angle_gamma 23.07
loop_
_atom_site_label
_atom_site_type_symbol
_atom_site_fract_x
_atom_site_fract_y
_atom_site_fract_z
Ba1 Ba 0.0000 0.0000 0.0000
Ba2 Ba 0.2166 0.2166 0.2166
Sr1 Sr 0.7745 0.7745 0.7745
Ag1 Ag 0.6084 0.6084 0.6084
```

Quick rundown of volume, same order as above: 16.120, 12.912, 27.990, 18.389, 24.178, 21.833, 17.350, 21.327, 18.251, 16.012, 12.604, 53.533 A^3/atom